DFT (PBE+U) results for a relaxed structure of SrMoNO2.

Unit cell a=4.422 b=4.422 c=4.782 alpha=90.00 beta=90.00 gamma=90.00
Space group P4/mmm (No. 123)
One atom of each set of equivalent atoms:
1 Sr 0.000 0.000 0.000 (multiplicity 1)
2 Mo 0.500 0.500 0.500 (multiplicity 1)
3 N 0.000 0.000 0.500 (multiplicity 1)
4 O 0.000 0.500 0.000 (multiplicity 2)

Raw total energy, Ry/atom: -0.3242